Entry 1:
# K2BaRh

Crystalline K2BaRh at its relaxed geometry (PBE-GGA, the Alexandria database).

Output
Electronic total energy ... -2.702 eV/atom
E_form ... 0.166 eV/atom
Calculated volume ... 46.3 Å³ per atom
SG ... No. 6

a b c (Å): 4.1490 4.4687 10.2241
angles (deg): 77.46 90.00 90.00
With the nearest neighbours (Å) after each atom.
Fractional positions:
Ba (0.5000, 0.7419, 0.6400)  4 Rh 3.07-3.08
K (0.0000, 0.0907, 0.9472)  1 Rh 3.47
K (0.5000, 0.4061, 0.3133)  2 Rh 3.53, 1 Ba 3.95
Rh (0.0000, 0.2613, 0.5995)  4 Ba 3.07-3.08

---

Entry 2:
# KBaRh

Crystalline KBaRh at its relaxed geometry (PBE-GGA, the Alexandria database).

Output
Energy relative to the lowest polymorph listed for this composition ... 356 meV/atom
Electronic total energy ... -3.225 eV/atom
E_form ... 0.233 eV/atom
Calculated volume ... 35.2 Å³ per atom
SG ... No. 216

a b c (Å): 5.3073 5.3073 5.3073
angles (deg): 60.00 60.00 60.00
With the nearest neighbours (Å) after each atom.
Fractional positions:
Ba (0.0000, 0.0000, 0.0000)  4 Rh 3.25
K (0.5000, 0.5000, 0.5000)  4 Rh 3.25
Rh (0.7500, 0.7500, 0.7500)  4 Ba 3.25, 4 K 3.25

---

Entry 3:
# K2BaRh

Crystalline K2BaRh at its relaxed geometry (PBE-GGA, the Alexandria database).

Output
Electronic total energy ... -2.398 eV/atom
E_form ... 0.470 eV/atom
Calculated volume ... 37.6 Å³ per atom
SG ... No. 12

a b c (Å): 7.3724 4.7821 4.7661
angles (deg): 85.43 72.70 107.37
With the nearest neighbours (Å) after each atom.
Fractional positions:
Ba (0.5000, 0.0000, 0.5000)  4 Rh 3.24-3.51
K (0.0000, 0.0000, 0.0000)  4 K 3.24-3.51
K (0.0000, 0.5000, 0.5000)  4 K 3.24-3.51
Rh (0.5000, 0.5000, 0.0000)  4 Ba 3.24-3.51

---

Entry 4:
# KBa2Rh2

Crystalline KBa2Rh2 at its relaxed geometry (PBE-GGA, the Alexandria database).

Output
Electronic total energy ... -3.734 eV/atom
E_form ... 0.195 eV/atom
Calculated volume ... 30.2 Å³ per atom
SG ... No. 127

a b c (Å): 9.2722 9.2722 3.5089
angles (deg): 90.00 90.00 90.00
With the nearest neighbours (Å) after each atom.
Fractional positions:
K (0.0000, 0.0000, 0.0000)  2 K 3.51, 4 Ba 3.60, 8 Rh 3.90
K (0.5000, 0.5000, 0.0000)  2 K 3.51, 4 Ba 3.60, 8 Rh 3.90
Rh (0.1597, 0.6597, 0.5000)  6 Ba 3.19-3.27, 2 Rh 3.51
Rh (0.6597, 0.8403, 0.5000)  6 Ba 3.19-3.27, 2 Rh 3.51
Rh (0.8403, 0.3403, 0.5000)  6 Ba 3.19-3.27, 2 Rh 3.51
Rh (0.3403, 0.1597, 0.5000)  6 Ba 3.19-3.27, 2 Rh 3.51
Ba (0.3626, 0.8626, 0.0000)  6 Rh 3.19-3.27, 2 Ba 3.51
Ba (0.8626, 0.6374, 0.0000)  6 Rh 3.19-3.27, 2 Ba 3.51
Ba (0.6374, 0.1374, 0.0000)  6 Rh 3.19-3.27, 2 Ba 3.51
Ba (0.1374, 0.3626, 0.0000)  6 Rh 3.19-3.27, 2 Ba 3.51

---

Question: Which formula does entry 1 have?
Answer: K2BaRh

---

Question: Look up the electronic total energy of the second one.
Answer: -3.225 eV/atom